Entry 1:
A crystal of LiP2Os relaxed with PBEsol. Source: Alexandria via LeMat-Bulk, functional SCAN.

Formation energy from the elements in eV/f.u.: 0.5
Calculated total energy in eV per atom: -23.645
Fermi-level density of states in states/eV/f.u.: 1.7

Cell lengths 2.809, 4.944, 7.995 Å; angles 90.00, 90.00, 90.00 degrees
Atoms (fractional coordinates):
Li 0.000 0.000 0.000
Li 0.500 0.500 0.000
P 0.000 0.500 0.257
P 0.000 0.500 0.743
P 0.500 0.000 0.257
P 0.500 0.000 0.743
Os 0.000 0.000 0.500
Os 0.500 0.500 0.500



Entry 2:
A crystal of Nb2ReRuO relaxed with PBEsol. Source: Alexandria via LeMat-Bulk, functional SCAN.

Calculated total energy in eV per atom: -34.873
Fermi-level density of states in states/eV/f.u.: 4.6
E_form (uncorrected) in eV/atom: 0.81

Cell lengths 4.896, 4.896, 3.528 Å; angles 90.00, 90.00, 90.00 degrees
Atoms (fractional coordinates):
Nb 0.000 0.500 0.000
Nb 0.500 0.000 0.000
Re 0.000 0.000 0.500
Ru 0.500 0.500 0.000
O 0.500 0.500 0.500



Entry 3:
A crystal of TaBe2 relaxed with PBEsol. Source: Alexandria via LeMat-Bulk, functional SCAN.

Formation energy from the elements in eV/f.u.: -0.5
Calculated total energy in eV per atom: -25.258
Fermi-level density of states in states/eV/f.u.: 1.2

Cell lengths 3.303, 8.718, 4.635 Å; angles 90.00, 90.00, 90.00 degrees
Atoms (fractional coordinates):
Ta 0.000 0.206 0.250
Ta 0.000 0.794 0.750
Ta 0.500 0.294 0.750
Ta 0.500 0.706 0.250
Be 0.000 0.081 0.750
Be 0.000 0.500 0.000
Be 0.000 0.500 0.500
Be 0.000 0.919 0.250
Be 0.500 0.000 0.000
Be 0.500 0.000 0.500
Be 0.500 0.419 0.250
Be 0.500 0.581 0.750